Entry P
This record from the Alexandria database describes a geometry-optimized Co2RuAu2 structure. The functional is PBE.

The space group is I4/mmm (No. 139) and the conventional cell measures 3.205, 3.205 and 15.338 Å, with angles of 90.00, 90.00 and 90.00 degrees. Symmetry generates all atoms from Co at (0.000, 0.500, 0.250), Ru at (0.000, 0.000, 0.000) and Au at (0.000, 0.000, 0.391).

The crystal system is tetragonal. For the calculated density, the calculation gives 12916 kg/m³. As for the volume: 157.6 Å³/cell.

=====

Entry Q
This record from the Alexandria database describes a geometry-optimized Co2RuAu2 structure. The functional is PBE.

The space group is P4/mbm (No. 127) and the conventional cell measures 7.366, 7.366 and 2.817 Å, with angles of 90.00, 90.00 and 90.00 degrees. Symmetry generates all atoms from Co at (0.164, 0.336, 0.000), Ru at (0.000, 0.000, 0.500) and Au at (0.136, 0.636, 0.500).

The crystal system is tetragonal. For the calculated density, the calculation gives 13317 kg/m³. As for the volume: 152.8 Å³/cell.

=====

Tell me which of them is the most stable. Sure, it is entry Q.

=====

Entry P
This record from the Alexandria database describes a geometry-optimized CoRuAu structure. The functional is PBE.

The space group is Imm2 (No. 44) and the conventional cell measures 2.746, 3.582 and 8.845 Å, with angles of 90.00, 90.00 and 90.00 degrees. Symmetry generates all atoms from Co at (0.000, 0.000, 0.000), Ru at (0.000, 0.000, 0.628) and Au at (0.000, 0.000, 0.319).

The crystal system is orthorhombic. For the calculated density, the calculation gives 13627 kg/m³. As for the volume: 87.0 Å³/cell.

=====

Entry Q
This record from the Alexandria database describes a geometry-optimized CoRuAu structure. The functional is PBE.

The space group is F-43m (No. 216) and the conventional cell measures 5.749, 5.749 and 5.749 Å, with angles of 90.00, 90.00 and 90.00 degrees. Symmetry generates all atoms from Co at (0.000, 0.000, 0.000), Ru at (0.250, 0.250, 0.250) and Au at (0.250, 0.250, 0.750).

The crystal system is cubic. For the calculated density, the calculation gives 12477 kg/m³. As for the volume: 190.0 Å³/cell.

=====

Tell me which of them is the most stable. Sure, it is entry P.